Compound: Ba6Mg3Zn
Source: the Alexandria database
Functional: GGA-PBE
Structure: relaxed

Computed properties:
N(E_F) in states/eV per cell: 21.20
Space group: P2_1/m (11)
Size of the total moment in μB per formula unit: 0.0
Energy in eV per cell: -35.93
Crystal system: monoclinic
Density in kg/m3: 3672
ΔH_f (0 K) in eV per atom: -0.037

Lattice parameters (Å, degrees): 10.546 6.151 14.265 90.00 109.86 90.00
Atoms (fractional coordinates):
Ba1 0.006 0.250 0.139
Ba2 0.029 0.750 0.345
Ba3 0.260 0.250 0.504
Ba4 0.280 0.750 0.153
Ba5 0.410 0.750 0.914
Ba6 0.486 0.250 0.334
Ba7 0.514 0.750 0.666
Ba8 0.590 0.250 0.086
Ba9 0.720 0.250 0.847
Ba10 0.740 0.750 0.496
Ba11 0.971 0.250 0.655
Ba12 0.994 0.750 0.861
Mg1 0.159 0.750 0.646
Mg2 0.209 0.250 0.957
Mg3 0.335 0.250 0.774
Mg4 0.665 0.750 0.226
Mg5 0.791 0.750 0.043
Mg6 0.841 0.250 0.354
Zn1 0.376 0.750 0.409
Zn2 0.624 0.250 0.591



Compound: Ba2MgZn
Source: the Alexandria database
Functional: GGA-PBE
Structure: relaxed

Computed properties:
N(E_F) in states/eV per cell: 4.45
Space group: Cm (8)
Size of the total moment in μB per formula unit: 0.0
Energy in eV per cell: -7.00
Crystal system: monoclinic
Density in kg/m3: 4105
ΔH_f (0 K) in eV per atom: -0.071

Lattice parameters (Å, degrees): 6.982 6.982 6.017 115.36 115.36 34.20
Atoms (fractional coordinates):
Ba1 0.000 0.000 0.000
Ba2 0.190 0.190 0.689
Mg1 0.404 0.404 0.404
Zn1 0.741 0.741 0.238



Compound: BaMgZn2
Source: the Alexandria database
Functional: GGA-PBE
Structure: relaxed

Computed properties:
N(E_F) in states/eV per cell: 2.61
Space group: C2/m (12)
Size of the total moment in μB per formula unit: 0.0
Energy in eV per cell: -6.65
Crystal system: monoclinic
Density in kg/m3: 4293
ΔH_f (0 K) in eV per atom: -0.147

Lattice parameters (Å, degrees): 4.692 4.692 6.531 111.28 111.28 60.08
Atoms (fractional coordinates):
Ba1 0.000 0.000 0.000
Mg1 0.500 0.500 0.500
Zn1 0.193 0.193 0.579
Zn2 0.807 0.807 0.421



Compound: Ba3Mg3Zn8
Source: the Alexandria database
Functional: GGA-PBE
Structure: relaxed

Computed properties:
N(E_F) in states/eV per cell: 7.77
Space group: Immm (71)
Size of the total moment in μB per formula unit: 0.0
Energy in eV per cell: -22.92
Crystal system: orthorhombic
Density in kg/m3: 4893
ΔH_f (0 K) in eV per atom: -0.155

Lattice parameters (Å, degrees): 9.076 9.076 9.076 148.92 115.83 73.02
Atoms (fractional coordinates):
Ba1 0.000 0.000 0.000
Ba2 0.296 0.296 0.000
Ba3 0.704 0.704 0.000
Mg1 0.301 0.500 0.801
Mg2 0.500 0.000 0.500
Mg3 0.699 0.500 0.199
Zn1 0.021 0.666 0.356
Zn2 0.138 0.858 0.280
Zn3 0.310 0.666 0.644
Zn4 0.421 0.142 0.280
Zn5 0.579 0.858 0.720
Zn6 0.690 0.334 0.356
Zn7 0.862 0.142 0.720
Zn8 0.979 0.334 0.644